one | Here is a relaxed structure of HfMg6Cd from the Alexandria database. Energies are from PBE.

Cell and atoms, written as CIF:
```
data_HfMg6Cd
_chemical_formula_sum 'Hf1 Mg6 Cd1'
_cell_length_a 4.404
_cell_length_b 4.404
_cell_length_c 9.153
_cell_angle_alpha 90.00
_cell_angle_beta 90.00
_cell_angle_gamma 90.00
_space_group_name_H-M_alt 'P 4/m m m'
_space_group_IT_number 123
_space_group_name_Hall '-P 4 2'
loop_
_atom_site_label
_atom_site_type_symbol
_atom_site_fract_x
_atom_site_fract_y
_atom_site_fract_z
Hf1 Hf 0.000 0.000 0.000
Mg1 Mg 0.000 0.500 0.247
Mg2 Mg 0.500 0.500 0.000
Mg3 Mg 0.500 0.500 0.500
Cd1 Cd 0.000 0.000 0.500
```

Values from the calculation:
mass density	4.08	g/cm³



two | Here is a relaxed structure of HfMg6Cd from the Alexandria database. Energies are from PBE.

Cell and atoms, written as CIF:
```
data_HfMg6Cd
_chemical_formula_sum 'Hf2 Mg12 Cd2'
_cell_length_a 5.003
_cell_length_b 6.239
_cell_length_c 11.305
_cell_angle_alpha 90.00
_cell_angle_beta 90.00
_cell_angle_gamma 90.00
_space_group_name_H-M_alt 'A m m 2'
_space_group_IT_number 38
loop_
_space_group_symop_operation_xyz
'x,y,z'
'-x,-y,z'
'-x,y,z'
'x,-y,z'
'x,y+1/2,z+1/2'
'-x,-y+1/2,z+1/2'
'-x,y+1/2,z+1/2'
'x,-y+1/2,z+1/2'
loop_
_atom_site_label
_atom_site_type_symbol
_atom_site_fract_x
_atom_site_fract_y
_atom_site_fract_z
Hf1 Hf 0.000 0.000 0.000
Mg1 Mg 0.000 0.250 0.248
Mg2 Mg 0.500 0.000 0.156
Mg3 Mg 0.500 0.000 0.648
Mg4 Mg 0.500 0.241 0.906
Cd1 Cd 0.000 0.000 0.490
```

Values from the calculation:
mass density	4.11	g/cm³



The structure with the most favorable energy is two; the runner-up is 10 meV per atom above it.